A relaxed structure of Sr2AlSi. Source: Alexandria via LeMat-Bulk, functional PBE.

Cell: 3.9301 3.9301 29.0483 Å, 90.00 90.00 120.00°
Space group R-3m (No. 166, hexagonal axes)
One atom of each set of equivalent atoms:
Sr 0.0000 0.0000 0.2426 [6 per cell]
Al 0.0000 0.0000 0.0000 [3 per cell]
Si 0.0000 0.0000 0.5000 [3 per cell]

Computed properties:
The calculation puts the formation energy (no corrections) at 48 kJ/mol of formula units.

A relaxed structure of Y2TlIn2. Source: Alexandria via LeMat-Bulk, functional PBE.

Cell: 7.6831 7.6831 4.6446 Å, 90.00 90.00 90.00°
Space group P4/mbm (No. 127)
One atom of each set of equivalent atoms:
Y 0.1682 0.3318 0.0000 [4 per cell]
Tl 0.0000 0.0000 0.5000 [2 per cell]
In 0.1325 0.6325 0.5000 [4 per cell]

Computed properties:
As for the energy of formation from the pure elements: -1.85 eV/f.u. Its energy above the most stable polymorph in this dataset is 0 meV/atom.

A relaxed structure of CeYLu. Source: Alexandria via LeMat-Bulk, functional PBE.

Cell: 3.5034 3.5034 14.9288 Å, 90.00 90.00 90.00°
Space group I4mm (No. 107)
One atom of each set of equivalent atoms:
Ce 0.0000 0.0000 0.0000 [2 per cell]
Y 0.0000 0.0000 0.3324 [2 per cell]
Lu 0.0000 0.0000 0.6612 [2 per cell]

Computed properties:
As for the energy of formation from the pure elements: 0.24 eV/f.u. Its energy above the most stable polymorph in this dataset is 13 meV/atom.

For reference, uncorrected energy by record: -3.01 -4.52 -5.56 eV/atom.